No. 1
# GGA-PBE LiRuF3, relaxed
data_LiRuF3
_chemical_formula_sum 'Li1 Ru1 F3'
_cell_length_a 4.184
_cell_length_b 4.184
_cell_length_c 4.184
_cell_angle_alpha 90.00
_cell_angle_beta 90.00
_cell_angle_gamma 90.00
_symmetry_space_group_name_H-M 'P m -3 m'
_symmetry_Int_Tables_number 221
_symmetry_space_group_name_Hall '-P 4 2 3'
loop_
_atom_site_label
_atom_site_fract_x
_atom_site_fract_y
_atom_site_fract_z
_atom_site_occupancy
Li1 0.000 0.000 0.000 1
Ru1 0.500 0.500 0.500 1
F1 0.000 0.500 0.500 1
# - ΔE to the lowest computed polymorph: 27 meV/atom



No. 2
LiRuF4: relaxed, GGA-PBE.

The structure in CIF format:
```
data_LiRuF4
_chemical_formula_sum 'Li1 Ru1 F4'
_cell_length_a 3.588
_cell_length_b 3.588
_cell_length_c 5.009
_cell_angle_alpha 90.00
_cell_angle_beta 90.00
_cell_angle_gamma 90.00
_symmetry_space_group_name_H-M 'P 4/m m m'
_symmetry_Int_Tables_number 123
_symmetry_space_group_name_Hall '-P 4 2'
loop_
_atom_site_label
_atom_site_fract_x
_atom_site_fract_y
_atom_site_fract_z
_atom_site_occupancy
Li1 0.000 0.000 0.000 1
Ru1 0.500 0.500 0.500 1
F1 0.000 0.500 0.264 1
```



Total energy, record by record: -4.765; -4.951 eV per atom
Formation energy without anion corrections, record by record: -1.40; -1.84 eV per atom